# 1
## La12TbY7 (GGA-PBE)

Data for La12TbY7 after structural relaxation.

```
20
Lattice="-2.116 -5.674 -2.003 2.619 4.984 -10.111 8.894 -3.272 6.643" Properties=species:S:1:pos:R:3 pbc="T T T"
La 2.990 1.820 -4.947
La 5.557 -1.538 1.891
La 0.478 -0.053 -7.655
La 2.275 -3.584 1.509
La 5.275 -2.735 -1.190
La 7.263 0.704 -2.364
La 2.134 -4.667 -3.108
La 4.122 -1.227 -4.281
La 7.122 -0.379 -6.981
La 8.919 -3.909 2.184
La 3.839 -2.424 -7.362
La 6.406 -5.782 -0.525
Tb 0.000 0.000 0.000
Y 1.728 3.078 -7.844
Y 0.340 -5.815 -0.129
Y 7.323 -2.315 -3.874
Y -1.058 -2.837 -1.002
Y 2.074 -1.647 -1.597
Y 9.057 1.852 -5.343
Y 7.668 -7.040 2.373
```

Properties
total energy = -104.92 eV/f.u.
E above lowest polymorph = 0.022 eV per atom
symmetry = R-3 (148)
energy of formation = 0.20 eV/atom

---

# 2
## Ho4AgRh3 (GGA-PBE)

Data for Ho4AgRh3 after structural relaxation.

```
8
Lattice="-2.444 1.999 1.463 -2.330 0.304 -4.308 -5.142 -7.914 2.222" Properties=species:S:1:pos:R:3 pbc="T T T"
Rh -2.512 -0.986 1.289
Rh -4.958 -2.806 -0.312
Rh -5.074 -4.929 2.396
Ho -2.571 -3.957 1.111
Ho -4.960 -5.690 -0.514
Ho 0.000 0.000 0.000
Ho -2.511 -1.920 -1.573
Ag -2.387 1.152 -1.423
```

Properties
total energy = -49.19 eV/f.u.
symmetry = Pmmm (47)
energy of formation = -0.75 eV/atom

---

# 3
## KHgBrCl2 (GGA-PBE)

Data for KHgBrCl2 after structural relaxation.

```
10
Lattice="4.550 0.000 0.000 -2.275 7.928 0.000 0.000 0.000 8.766" Properties=species:S:1:pos:R:3 pbc="T T T"
K 2.275 3.258 6.574
K 0.000 4.670 2.191
Hg 0.000 0.000 0.000
Hg 0.000 0.000 4.383
Br 0.000 7.821 6.574
Br 2.275 0.107 2.191
Cl 0.000 2.436 8.650
Cl 2.275 5.492 0.115
Cl 0.000 2.436 4.498
Cl 2.275 5.492 4.267
```

Properties
uncorrected formation energy = -1.093 eV/atom
total energy = -12.23 eV/f.u.
E above lowest polymorph = 0.000 eV per atom
symmetry = Cmcm (63)

---

# 4
## LiCeHgI6 (GGA-PBE)

Data for LiCeHgI6 after structural relaxation.

```
9
Lattice="7.641 0.001 0.000 3.821 6.617 0.000 -0.001 0.001 7.049" Properties=species:S:1:pos:R:3 pbc="T T T"
Li 3.820 2.206 3.524
Ce 7.641 4.413 3.524
Hg 7.640 0.001 7.048
I 1.361 2.261 1.781
I 2.638 0.049 5.268
I 6.279 2.261 5.268
I 2.543 4.308 5.269
I 5.097 4.309 1.781
I 5.002 0.049 1.780
```

Properties
uncorrected formation energy = -0.891 eV/atom
total energy = -25.47 eV/f.u.
symmetry = P312 (149)

---

# 5
## MgIn3Sn (GGA-PBE)

Data for MgIn3Sn after structural relaxation.

```
20
Lattice="-4.174 0.928 -6.001 3.644 -5.081 -3.320 -7.059 -6.896 2.804" Properties=species:S:1:pos:R:3 pbc="T T T"
Mg 0.246 -2.363 -1.223
Mg -2.106 -7.452 -0.894
Mg -5.482 -3.596 -5.623
Mg -7.834 -8.686 -5.294
In -4.595 -2.966 -2.837
In -5.607 -9.925 -3.729
In -5.709 -7.917 -1.105
In 1.043 -4.198 -3.586
In -1.893 -4.869 -2.768
In -2.993 -8.082 -3.680
In -3.360 -5.831 -5.920
In -5.695 -6.180 -3.749
In -8.632 -6.850 -2.931
In -1.879 -3.131 -5.412
In -1.982 -1.124 -2.788
In -4.228 -5.217 -0.597
Sn 0.374 -7.242 -3.199
Sn -0.983 -5.168 -7.863
Sn -6.605 -5.881 1.346
Sn -7.962 -3.807 -3.318
```

Properties
total energy = -13.71 eV/f.u.
E above lowest polymorph = 0.037 eV per atom
symmetry = P2/c (13)
energy of formation = 0.02 eV/atom

---

# 6
## ZnTcP2 (GGA-PBE)

Data for ZnTcP2 after structural relaxation.

```
4
Lattice="4.920 -0.007 0.000 2.213 4.394 0.000 -3.566 -2.194 2.584" Properties=species:S:1:pos:R:3 pbc="T T T"
P 0.000 0.000 0.000
P 1.106 2.197 1.292
Tc 3.566 2.194 0.000
Zn 2.460 -0.003 1.292
```

Properties
total energy = -21.27 eV/f.u.
symmetry = I-4m2 (119)
energy of formation = 0.30 eV/atom

---

# 7
## Ca2TlPb (GGA-PBE)

Data for Ca2TlPb after structural relaxation.

```
4
Lattice="-1.922 1.439 4.987 -4.824 0.314 2.696 -0.198 -5.732 3.067" Properties=species:S:1:pos:R:3 pbc="T T T"
Pb -5.208 -2.984 8.063
Tl -1.736 -0.995 2.688
Ca -0.005 -0.007 0.009
Ca -3.467 -1.982 5.366
```

Properties
total energy = -11.52 eV/f.u.
E above lowest polymorph = 0.130 eV per atom
symmetry = C2/m (12)
energy of formation = -0.36 eV/atom

---

# 8
## CaHfSe2Br (GGA-PBE)

Data for CaHfSe2Br after structural relaxation.

```
5
Lattice="5.221 0.000 0.000 0.000 5.221 0.000 0.000 0.000 5.172" Properties=species:S:1:pos:R:3 pbc="T T T"
Ca 2.610 2.610 2.586
Hf 0.000 0.000 0.000
Se 0.000 2.610 0.000
Se 2.610 0.000 0.000
Br 0.000 0.000 2.586
```

Properties
uncorrected formation energy = -1.102 eV/atom
total energy = -26.10 eV/f.u.
E above lowest polymorph = 0.000 eV per atom
symmetry = P4/mmm (123)

---

| no. | DOS(E_F) (states/eV/atom) |
| --- | --- |
| 1 | 1.400 |
| 2 | 0.663 |
| 3 | 0.000 |
| 4 | 0.738 |
| 5 | 0.410 |
| 6 | 0.788 |
| 7 | 0.695 |
| 8 | 0.487 |